[1]
Computed, not measured: a relaxed AlCdMo2 crystal at the PBE level of DFT.

Unit cell a=4.5409 b=4.5409 c=4.5409 alpha=60.00 beta=60.00 gamma=60.00
Sites, in units of the cell vectors:
Mo  0.2500  0.2500  0.2500
Mo  0.7500  0.7500  0.7500
Al  0.0000  0.0000  0.0000
Cd  0.5000  0.5000  0.5000

Summary:
magnetization	0.0	μB/f.u.
electronic total energy	-6.0922	eV/atom

***

[2]
Computed, not measured: a relaxed ZrNbSe3 crystal at the PBE level of DFT.

Unit cell a=5.1535 b=5.1535 c=5.1535 alpha=90.00 beta=90.00 gamma=90.00
Sites, in units of the cell vectors:
Se  0.0000  0.0000  0.5000
Se  0.5000  0.0000  0.0000
Se  0.0000  0.5000  0.0000
Zr  0.0000  0.0000  0.0000
Nb  0.5000  0.5000  0.5000

Summary:
magnetization	3.0	μB/f.u.
uncorrected formation energy	0.083	eV per atom
electronic total energy	-5.7310	eV/atom

***

[3]
Computed, not measured: a relaxed ZrAgIr crystal at the PBE level of DFT.

Unit cell a=5.2684 b=4.8067 c=9.1691 alpha=90.00 beta=106.95 gamma=90.00
Sites, in units of the cell vectors:
Ir  0.3202  0.5000  0.3672
Ir  0.6798  0.0000  0.1328
Ir  0.3202  0.0000  0.8672
Ir  0.6798  0.5000  0.6328
Zr  0.8047  0.5000  0.2974
Zr  0.1953  0.5000  0.7026
Zr  0.8047  0.0000  0.7974
Zr  0.1953  0.0000  0.2026
Ag  0.7265  0.5000  0.9570
Ag  0.7265  0.0000  0.4570
Ag  0.2735  0.5000  0.0430
Ag  0.2735  0.0000  0.5430

Summary:
magnetization	0.0	μB/f.u.
electronic total energy	-7.1557	eV/atom

***

[4]
Computed, not measured: a relaxed PaBAuO5 crystal at the PBE level of DFT.

Unit cell a=5.6820 b=5.6820 c=8.5035 alpha=110.53 beta=110.53 gamma=93.51
Sites, in units of the cell vectors:
Pa  0.0000  0.0000  0.5000
Pa  0.0000  0.0000  0.0000
O  0.1878  0.7451  0.8725
O  0.6097  0.7308  0.8535
O  0.2692  0.3903  0.6465
O  0.7451  0.1878  0.3725
O  0.0978  0.9022  0.2500
O  0.2549  0.8122  0.6275
O  0.9022  0.0978  0.7500
O  0.7308  0.6097  0.3535
O  0.8122  0.2549  0.1275
O  0.3903  0.2692  0.1465
B  0.6769  0.3231  0.2500
B  0.3231  0.6769  0.7500
Au  0.3423  0.6577  0.2500
Au  0.6577  0.3423  0.7500

Summary:
magnetization	1.0	μB/f.u.
uncorrected formation energy	-2.169	eV per atom
electronic total energy	-7.6997	eV/atom

***

[5]
Computed, not measured: a relaxed TlN2Cl crystal at the PBE level of DFT.

Unit cell a=4.7628 b=4.7628 c=6.8454 alpha=69.64 beta=69.64 gamma=90.00
Sites, in units of the cell vectors:
N  0.3750  0.4190  0.7500
N  0.1690  0.6250  0.2500
N  0.5810  0.1250  0.2500
N  0.8750  0.8310  0.7500
Cl  0.2500  0.7500  0.5000
Cl  0.5000  0.5000  0.0000
Tl  0.0000  0.0000  0.0000
Tl  0.7500  0.2500  0.5000

Summary:
magnetization	0.0	μB/f.u.
uncorrected formation energy	1.798	eV per atom
electronic total energy	-3.4179	eV/atom

***

[6]
Computed, not measured: a relaxed KFeBr2 crystal at the PBE level of DFT.

Unit cell a=8.0990 b=8.0990 c=8.0990 alpha=150.09 beta=150.09 gamma=42.81
Sites, in units of the cell vectors:
K  0.7500  0.2500  0.5000
Fe  0.5000  0.5000  0.0000
Br  0.2500  0.7500  0.5000
Br  0.0000  0.0000  0.0000

Summary:
magnetization	3.5	μB/f.u.
uncorrected formation energy	-0.263	eV per atom
electronic total energy	-3.4899	eV/atom